(1)
## Co2Sn2Pt (PBE)

Data for a geometry-optimized Co2Sn2Pt structure.

## Properties
The formation energy is -0.025 eV/atom. The space group is No. 127. The value obtained for the total energy is -56.76 eV for the cell shown. As for the polymorph energy (0 for the lowest one): 0 meV per atom.

Cell and atoms, written as CIF:
```
data_Co2Sn2Pt
_cell_length_a 7.094
_cell_length_b 7.094
_cell_length_c 3.114
_cell_angle_alpha 90.00
_cell_angle_beta 90.00
_cell_angle_gamma 90.00
_space_group_name_H-M_alt 'P 1'
_space_group_IT_number 1
_space_group_name_Hall 'P 1'
loop_
_atom_site_label
_atom_site_type_symbol
_atom_site_fract_x
_atom_site_fract_y
_atom_site_fract_z
_atom_site_occupancy
Sn1 Sn 0.326 0.174 0.500 1
Sn2 Sn 0.826 0.326 0.500 1
Sn3 Sn 0.674 0.826 0.500 1
Sn4 Sn 0.174 0.674 0.500 1
Co1 Co 0.875 0.625 0.000 1
Co2 Co 0.625 0.125 0.000 1
Co3 Co 0.375 0.875 0.000 1
Co4 Co 0.125 0.375 0.000 1
Pt1 Pt 0.500 0.500 0.000 1
Pt2 Pt 0.000 0.000 0.000 1
```



(2)
## AsRu (PBE)

Data for a geometry-optimized AsRu structure.

## Properties
The formation energy is 0.310 eV/atom. The space group is No. 225. The value obtained for the total energy is -13.31 eV for the cell shown.

Cell and atoms, written as CIF:
```
data_AsRu
_cell_length_a 3.589
_cell_length_b 3.589
_cell_length_c 3.589
_cell_angle_alpha 60.00
_cell_angle_beta 60.00
_cell_angle_gamma 60.00
_space_group_name_H-M_alt 'P 1'
_space_group_IT_number 1
_space_group_name_Hall 'P 1'
loop_
_atom_site_label
_atom_site_type_symbol
_atom_site_fract_x
_atom_site_fract_y
_atom_site_fract_z
_atom_site_occupancy
As1 As 0.000 0.000 0.000 1
Ru1 Ru 0.500 0.500 0.500 1
```



(3)
## Mg2MnIr (PBE)

Data for a geometry-optimized Mg2MnIr structure.

## Properties
The formation energy is -0.069 eV/atom. The space group is No. 25. The value obtained for the total energy is -21.49 eV for the cell shown. As for the polymorph energy (0 for the lowest one): 63 meV per atom.

Cell and atoms, written as CIF:
```
data_Mg2MnIr
_cell_length_a 4.465
_cell_length_b 3.028
_cell_length_c 4.784
_cell_angle_alpha 89.99
_cell_angle_beta 90.00
_cell_angle_gamma 90.00
_space_group_name_H-M_alt 'P 1'
_space_group_IT_number 1
_space_group_name_Hall 'P 1'
loop_
_atom_site_label
_atom_site_type_symbol
_atom_site_fract_x
_atom_site_fract_y
_atom_site_fract_z
_atom_site_occupancy
Mg1 Mg 0.500 0.125 0.302 1
Mg2 Mg 0.000 0.125 0.941 1
Mn1 Mn 0.000 0.625 0.471 1
Ir1 Ir 0.500 0.625 0.785 1
```



Number 1: total moment 1.81 Bohr magnetons per cell. Number 2: total moment 0.00 Bohr magnetons per cell. Number 3: total moment 3.71 Bohr magnetons per cell.